No. 1
Computed, not measured: crystalline MgVGe at its relaxed geometry at the GGA-PBE level of DFT.

Output
Energy of formation from the pure elements = -0.07 eV/atom

Cell: 2.802 5.432 6.703 Å, 89.65 77.95 88.28°
Space group P-1 (No. 2)
Symmetry-distinct sites (fractional):
Mg (0.175, 0.250, 0.152) [2 per cell]
V (0.500, 0.000, 0.500) [1 per cell]
V (0.500, 0.500, 0.500) [1 per cell]
Ge (0.136, 0.750, 0.228) [2 per cell]

***

No. 2
Computed, not measured: crystalline Sr2Zn2Au at its relaxed geometry at the GGA-PBE level of DFT.

Output
Distance to the lowest polymorph of the same formula = 0.124 eV per atom
Energy of formation from the pure elements = -0.31 eV/atom

Cell: 3.871 3.871 18.637 Å, 90.00 90.00 90.00°
Space group I4/mmm (No. 139)
Symmetry-distinct sites (fractional):
Sr (0.000, 0.000, 0.101) [4 per cell]
Zn (0.000, 0.500, 0.250) [4 per cell]
Au (0.000, 0.000, 0.500) [2 per cell]

***

No. 3
Computed, not measured: crystalline Mg2AlAg at its relaxed geometry at the GGA-PBE level of DFT.

Output
Energy of formation from the pure elements = -0.09 eV/atom

Cell: 3.108 3.939 6.201 Å, 90.00 90.49 90.00°
Space group P2/m (No. 10)
Symmetry-distinct sites (fractional):
Mg (0.001, 0.000, 0.246) [2 per cell]
Al (0.500, 0.500, 0.500) [1 per cell]
Ag (0.500, 0.500, 0.000) [1 per cell]

***

No. 4
Computed, not measured: crystalline BaNaAcTe3 at its relaxed geometry at the GGA-PBE level of DFT.

Output
Formation energy (no corrections) = -1.4408 eV per atom

Cell: 9.888 4.828 10.394 Å, 90.00 102.96 90.00°
Space group P2_1/m (No. 11)
Symmetry-distinct sites (fractional):
Ba (0.190, 0.250, 0.231) [2 per cell]
Na (0.087, 0.250, 0.581) [2 per cell]
Ac (0.329, 0.750, 0.833) [2 per cell]
Te (0.105, 0.250, 0.874) [2 per cell]
Te (0.235, 0.750, 0.502) [2 per cell]
Te (0.435, 0.750, 0.164) [2 per cell]

***

| no. | M_tot (Bohr magnetons per cell) |
| --- | --- |
| 1 | 0.00 |
| 2 | 0.00 |
| 3 | 0.00 |
| 4 | 0.00 |